An optimized crystal structure of Nb3CoSe6, computed with GGA-PBE.

The structure in POSCAR format:
```
Nb3CoSe6
1.0
6.066 0.000 0.000
-3.033 5.253 0.000
0.000 0.000 12.435
Nb Co Se
6 2 12
direct
0.000 0.000 0.000
0.000 0.000 0.500
0.333 0.667 0.000
0.333 0.667 0.500
0.667 0.333 0.000
0.667 0.333 0.500
0.333 0.667 0.250
0.667 0.333 0.750
0.003 0.333 0.866
0.003 0.670 0.634
0.330 0.333 0.634
0.330 0.997 0.866
0.333 0.003 0.134
0.333 0.330 0.366
0.667 0.670 0.866
0.667 0.997 0.634
0.670 0.003 0.366
0.670 0.667 0.134
0.997 0.330 0.134
0.997 0.667 0.366
```

Output
**Energy above the lowest structure with this stoichiometry**: 0 meV per atom
**Calculated volume**: 19.81 Å³/atom
**E**: -131.9 eV for the cell shown
**Magnetization**: 2.12 μB per formula unit

---

An optimized crystal structure of BaMgSb2, computed with GGA-PBE.

The structure in POSCAR format:
```
BaMgSb2
1.0
3.623 -4.496 0.000
3.623 4.496 0.000
-0.019 0.000 3.884
Ba Mg Sb
1 1 2
direct
0.000 0.000 0.000
0.500 0.500 0.000
0.000 0.500 0.500
0.500 0.000 0.500
```

Output
**Calculated volume**: 31.64 Å³/atom
**E**: -13.3 eV for the cell shown
**Magnetization**: 0.00 μB per formula unit